Record 1
This record from the Alexandria database describes crystalline La6AsRu2Cl3 at its relaxed geometry. The functional is GGA-PBE.

The structure belongs to space group C2/m (No. 12); the cell edges are 7.360, 12.699 and 7.853 Å and the angles 90.00°, 108.76° and 90.00°. The asymmetric unit holds La at (0.216, 0.000, 0.210), La at (0.243, 0.323, 0.211), As at (0.000, 0.500, 0.000), Ru at (0.000, 0.168, 0.000), Cl at (0.000, 0.000, 0.500) and Cl at (0.000, 0.338, 0.500).

As for the raw total energy: -6.076 eV per atom. As for the theoretical density: 5.81 g/cm³. Its crystal system is monoclinic. The total moment comes out at 0.00 μB per atom.

---

Record 2
This record from the Alexandria database describes crystalline CrCdRh at its relaxed geometry. The functional is GGA-PBE.

The structure belongs to space group P-6m2 (No. 187); the cell edges are 4.3963, 4.3963 and 2.9562 Å and the angles 90.00°, 90.00° and 120.00°. The asymmetric unit holds Cr at (0.0000, 0.0000, 0.0000), Cd at (0.3333, 0.6667, 0.5000) and Rh at (0.6667, 0.3333, 0.0000).

As for the theoretical density: 8.97 g/cm³. Its crystal system is hexagonal. The formation energy is 0.206 eV/atom. The total moment comes out at 1.08 μB per atom.